Compound: Li2NdH6
Source: Alexandria via LeMat-Bulk
Functional: GGA-PBE
Structure: optimized geometry

Summary:
- spin magnetization (Bohr magnetons per cell) = 0.00
- electronic total energy (Ry/atom) = -0.2041
- volume (Å³/cell) = 114.3

Geometry as POSCAR:
```
Li2NdH6
1.0
4.7176 0.0000 2.7237
1.5725 4.4478 2.7237
0.0000 0.0000 5.4474
H Nd Li
6 1 2
Direct
0.7129 0.7129 0.2871
0.2871 0.2871 0.7129
0.2871 0.7129 0.7129
0.7129 0.2871 0.7129
0.2871 0.7129 0.2871
0.7129 0.2871 0.2871
0.0000 0.0000 0.0000
0.2500 0.2500 0.2500
0.7500 0.7500 0.7500
```


Compound: Sr3Ru2
Source: Alexandria via LeMat-Bulk
Functional: GGA-PBE
Structure: optimized geometry

Summary:
- spin magnetization (Bohr magnetons per cell) = 0.42
- electronic total energy (Ry/atom) = -0.2911
- formation energy (meV/atom) = 759
- volume (Å³/cell) = 145.3

Geometry as POSCAR:
```
Sr3Ru2
1.0
-9.1165 -8.4545 -2.8836
-7.9518 -9.9811 0.2220
-10.4504 -7.3205 0.3206
Ru Sr
2 3
Direct
0.3934 0.3934 0.3934
0.6066 0.6066 0.6066
0.7806 0.7806 0.7806
0.0000 0.0000 0.0000
0.2194 0.2194 0.2194
```


Compound: Be2AlH6
Source: Alexandria via LeMat-Bulk
Functional: GGA-PBE
Structure: optimized geometry

Summary:
- spin magnetization (Bohr magnetons per cell) = 0.00
- electronic total energy (Ry/atom) = -0.2474
- volume (Å³/cell) = 144.4
- polymorph energy (0 for the lowest one) (eV/atom) = 0.0000

Geometry as POSCAR:
```
Be2AlH6
1.0
-3.3675 2.2185 -1.6264
-2.6907 0.5067 5.1025
2.6495 5.1363 0.3606
H Al Be
12 2 4
Direct
0.8945 0.5838 0.7028
0.6783 0.5594 0.1304
0.6055 0.2972 0.4162
0.1331 0.8309 0.9712
0.1783 0.1304 0.5594
0.3669 0.0288 0.1691
0.3945 0.7028 0.5838
0.8669 0.1691 0.0288
0.3217 0.4406 0.8696
0.6331 0.9712 0.8309
0.8217 0.8696 0.4406
0.1055 0.4162 0.2972
0.7500 0.8518 0.1482
0.2500 0.1482 0.8518
0.8139 0.3479 0.2223
0.6861 0.7777 0.6521
0.1861 0.6521 0.7777
0.3139 0.2223 0.3479
```


Compound: Ba2LiBeC
Source: Alexandria via LeMat-Bulk
Functional: GGA-PBE
Structure: optimized geometry

Summary:
- spin magnetization (Bohr magnetons per cell) = 0.00
- electronic total energy (Ry/atom) = -0.2230
- formation energy (meV/atom) = 708
- volume (Å³/cell) = 137.8

Geometry as POSCAR:
```
Ba2LiBeC
1.0
5.7111 0.0000 0.0000
0.0000 4.2233 0.0000
0.0000 0.0000 5.7111
Ba C Be Li
2 1 1 1
Direct
0.0000 0.0000 0.5000
0.5000 0.0000 0.0000
0.0000 0.0000 0.0000
0.5000 0.5000 0.5000
0.0000 0.5000 0.0000
```


Compound: ScNbCo4
Source: Alexandria via LeMat-Bulk
Functional: GGA-PBE
Structure: optimized geometry

Summary:
- spin magnetization (Bohr magnetons per cell) = 1.50
- electronic total energy (Ry/atom) = -0.5660
- formation energy (meV/atom) = -230
- volume (Å³/cell) = 78.2

Geometry as POSCAR:
```
ScNbCo4
1.0
4.8009 0.0000 0.0000
2.4005 4.1577 0.0000
2.4005 1.3859 3.9199
Sc Co Nb
1 4 1
Direct
0.0000 0.0000 0.0000
0.6257 0.6257 0.1229
0.6257 0.6257 0.6257
0.6257 0.1229 0.6257
0.1229 0.6257 0.6257
0.2500 0.2500 0.2500
```


Compound: Re2SI
Source: Alexandria via LeMat-Bulk
Functional: GGA-PBE
Structure: optimized geometry

Summary:
- spin magnetization (Bohr magnetons per cell) = 0.00
- electronic total energy (Ry/atom) = -0.4692
- volume (Å³/cell) = 64.7
- polymorph energy (0 for the lowest one) (eV/atom) = 0.2566

Geometry as POSCAR:
```
Re2SI
1.0
-3.2973 2.8292 1.1942
-1.9384 2.6365 -3.0975
-4.2377 -0.7995 -1.3060
S Re I
1 2 1
Direct
0.0000 0.0000 0.0000
0.7500 0.7500 0.7500
0.2500 0.2500 0.2500
0.5000 0.5000 0.5000
```


Compound: Nb7Re2W2
Source: Alexandria via LeMat-Bulk
Functional: GGA-PBE
Structure: optimized geometry

Summary:
- spin magnetization (Bohr magnetons per cell) = 0.00
- electronic total energy (Ry/atom) = -0.7828
- formation energy (meV/atom) = 375
- volume (Å³/cell) = 200.3

Geometry as POSCAR:
```
Nb7Re2W2
1.0
-3.5021 2.2853 3.2186
-2.3513 -4.6438 4.0456
3.3498 3.5518 4.4299
Nb Re W
7 2 2
Direct
0.0135 0.6694 0.6694
0.3195 0.4209 0.9293
0.6805 0.0707 0.5791
0.5000 0.0000 0.0000
0.6805 0.5791 0.0707
0.3195 0.9293 0.4209
0.9865 0.3306 0.3306
0.4871 0.3311 0.3311
0.5129 0.6689 0.6689
0.0000 0.8638 0.1362
0.0000 0.1362 0.8638
```


Compound: PrZn4CuAu2
Source: Alexandria via LeMat-Bulk
Functional: GGA-PBE
Structure: optimized geometry

Summary:
- spin magnetization (Bohr magnetons per cell) = 0.00
- electronic total energy (Ry/atom) = -0.2104
- formation energy (meV/atom) = -297
- volume (Å³/cell) = 146.0

Geometry as POSCAR:
```
PrZn4CuAu2
1.0
-3.5288 -0.1459 2.5852
-2.4191 -3.6423 0.1975
2.9968 -4.2104 7.5582
Zn Au Pr Cu
4 2 1 1
Direct
0.8641 0.8641 0.4076
0.1359 0.1359 0.5924
0.5972 0.5972 0.2085
0.4028 0.4028 0.7915
0.7584 0.7584 0.7247
0.2416 0.2416 0.2753
0.0000 0.0000 0.0000
0.5000 0.5000 0.5000
```